1.
PBE-GGA TcBiO3, optimized geometry; raw total energy = -6.897 eV/atom
1.0
5.8837 0.0000 0.0000
0.0000 7.8537 0.0000
0.0000 0.0000 5.4267
Tc Bi O
4 4 12
Cartesian
0.0000 0.0000 0.0000 Tc
0.0000 3.9269 0.0000 Tc
2.9418 0.0000 2.7134 Tc
2.9418 3.9269 2.7134 Tc
0.3651 1.9634 2.5822 Bi
2.5768 5.8903 5.2956 Bi
3.3069 1.9634 0.1311 Bi
5.5186 5.8903 2.8445 Bi
0.2035 5.8903 0.6576 O
1.1123 4.2353 3.6566 O
1.1123 7.5453 3.6566 O
1.8296 0.3084 0.9433 O
1.8296 3.6185 0.9433 O
2.7383 1.9634 3.3709 O
3.1453 5.8903 2.0558 O
4.0541 4.2353 4.4835 O
4.0541 7.5453 4.4835 O
4.7714 0.3084 1.7701 O
4.7714 3.6185 1.7701 O
5.6802 1.9634 4.7691 O

---

2.
PBE-GGA TcBiO3, optimized geometry; raw total energy = -6.775 eV/atom
1.0
4.0072 0.0000 0.0000
0.0000 4.0072 0.0000
0.0000 0.0000 4.0626
Tc Bi O
1 1 3
Cartesian
0.0000 0.0000 0.0000 Tc
2.0036 2.0036 1.6967 Bi
0.0000 0.0000 2.0625 O
0.0000 2.0036 0.2542 O
2.0036 0.0000 0.2542 O

---

Q: Among the records above, which one has the highest raw total energy?
A: number 2